(1)
MnRu2 | PBE | relaxed

Calculated values
- energy of formation (eV per atom) = 0.839

Lattice parameters (Å, degrees): 5.679 5.679 5.679 90.00 90.00 90.00
Space group Pa-3 (No. 205)
Inequivalent atoms, fractional coordinates:
Mn: 0.000 0.000 0.000
Ru: 0.121 0.621 0.879

***

(2)
Hg2IrO | PBE | relaxed

Calculated values
- formation energy from raw total energies (meV per atom) = 597

Lattice parameters (Å, degrees): 7.048 7.048 5.464 90.00 90.00 90.00
Space group I-42d (No. 122)
Inequivalent atoms, fractional coordinates:
Hg: 0.205 0.250 0.125
Ir: 0.000 0.000 0.500
O: 0.000 0.000 0.000

***

(3)
MnCrFe2 | PBE | relaxed

Calculated values
- energy of formation (eV per atom) = 0.650

Lattice parameters (Å, degrees): 6.340 6.340 4.779 90.00 90.00 90.00
Space group I-42d (No. 122)
Inequivalent atoms, fractional coordinates:
Mn: 0.000 0.000 0.000
Cr: 0.000 0.000 0.500
Fe: 0.249 0.750 0.125

***

(4)
La6PbSe5 | PBE | relaxed

Calculated values
- formation energy from raw total energies (meV per atom) = -1764

Lattice parameters (Å, degrees): 7.591 13.145 7.604 90.00 109.45 90.00
Space group C2/m (No. 12)
Inequivalent atoms, fractional coordinates:
La: 0.242 0.000 0.255
La: 0.243 0.171 0.743
Pb: 0.000 0.500 0.000
Se: 0.000 0.000 0.500
Se: 0.000 0.168 0.000
Se: 0.000 0.338 0.500

***

(5)
Pr2NdDyPt2 | PBE | relaxed

Calculated values
- energy of formation (eV per atom) = -0.782

Lattice parameters (Å, degrees): 6.945 14.335 6.935 90.00 90.00 90.00
Space group Ibam (No. 72)
Inequivalent atoms, fractional coordinates:
Pr: 0.205 0.193 0.000
Nd: 0.000 0.500 0.250
Dy: 0.000 0.000 0.250
Pt: 0.230 0.110 0.500

***

(6)
AlCoAu2Se | PBE | relaxed

Calculated values
- energy above the lowest structure with this stoichiometry (meV per atom) = 434
- formation energy from raw total energies (meV per atom) = 1060

Lattice parameters (Å, degrees): 4.988 4.988 4.850 90.00 90.00 90.00
Space group P4/mmm (No. 123)
Inequivalent atoms, fractional coordinates:
Al: 0.000 0.000 0.000
Co: 0.500 0.500 0.000
Au: 0.000 0.500 0.500
Se: 0.000 0.000 0.500

***

(7)
LiSm4Y3Se8 | PBE | relaxed

Calculated values
- formation energy from raw total energies (meV per atom) = -1778

Lattice parameters (Å, degrees): 8.2180 8.2180 20.2296 90.00 90.00 120.00
Space group R-3m (No. 166, hexagonal axes)
Inequivalent atoms, fractional coordinates:
Li: 0.0000 0.0000 0.0000
Sm: 0.0000 0.0000 0.5000
Sm: 0.0000 0.5000 0.5000
Y: 0.0000 0.5000 0.0000
Se: 0.0000 0.0000 0.2526
Se: 0.0069 0.5035 0.7457

***

(8)
Nd3Cd9Pd2 | PBE | relaxed

Calculated values
- energy of formation (eV per atom) = -0.356

Lattice parameters (Å, degrees): 4.903 10.394 12.911 90.00 90.00 90.00
Space group Immm (No. 71)
Inequivalent atoms, fractional coordinates:
Nd: 0.000 0.000 0.000
Nd: 0.000 0.000 0.300
Cd: 0.000 0.280 0.134
Cd: 0.000 0.364 0.358
Cd: 0.000 0.500 0.000
Pd: 0.000 0.152 0.500

***

(9)
BeReIr | PBE | relaxed

Calculated values
- energy of formation (eV per atom) = -0.232
- energy above the lowest structure with this stoichiometry (meV per atom) = 85

Lattice parameters (Å, degrees): 10.244 2.808 6.500 90.00 127.52 90.00
Space group C2/m (No. 12)
Inequivalent atoms, fractional coordinates:
Be: 0.118 0.000 0.191
Re: 0.106 0.500 0.879
Ir: 0.155 0.000 0.576

***

(10)
AcMg2Tl2Cd2 | PBE | relaxed

Calculated values
- energy of formation (eV per atom) = -0.184

Lattice parameters (Å, degrees): 8.801 4.881 9.050 90.00 104.63 90.00
Space group C2/m (No. 12)
Inequivalent atoms, fractional coordinates:
Ac: 0.000 0.000 0.000
Mg: 0.079 0.500 0.695
Tl: 0.223 0.500 0.211
Cd: 0.133 0.000 0.426

***

(11)
SiSeBr | PBE | relaxed

Calculated values
- energy above the lowest structure with this stoichiometry (meV per atom) = 239
- formation energy from raw total energies (meV per atom) = -294

Lattice parameters (Å, degrees): 3.543 3.543 14.108 90.00 90.00 90.00
Space group I4mm (No. 107)
Inequivalent atoms, fractional coordinates:
Si: 0.000 0.000 0.000
Se: 0.000 0.000 0.451
Br: 0.000 0.000 0.158

***

(12)
SrGaICl4 | PBE | relaxed

Calculated values
- formation energy from raw total energies (meV per atom) = -1487

Lattice parameters (Å, degrees): 13.867 9.394 8.283 90.00 101.66 90.00
Space group C2/m (No. 12)
Inequivalent atoms, fractional coordinates:
Sr: 0.173 0.000 0.080
Ga: 0.145 0.500 0.284
I: 0.013 0.000 0.749
Cl: 0.012 0.500 0.746
Cl: 0.202 0.322 0.145
Cl: 0.229 0.500 0.537

***

no.,DOS(E_F) (states/eV/f.u.)
1,2.9
2,3.4
3,5.2
4,6.5
5,6.3
6,3.4
7,7.8
8,10.4
9,1.2
10,2.0
11,0.4
12,0.0